No. 1
Here is a geometry-optimized La2Cu3Ni12Ir structure from the Alexandria database. Energies are from GGA-PBE.

```
18
Lattice="2.959 1.709 8.896 -2.959 1.709 8.896 0.000 -3.417 8.896" Properties=species:S:1:pos:R:3 pbc="T T T"
La 0.000 0.000 4.030
La 0.000 0.000 22.659
Cu -1.480 -0.854 8.896
Cu -1.480 0.854 17.793
Cu 0.000 1.709 8.896
Ni 0.000 -2.075 7.568
Ni -1.797 1.038 7.568
Ni -1.241 -0.717 11.378
Ni -1.797 -1.038 19.121
Ni 0.000 -1.433 15.311
Ni -1.241 0.717 15.311
Ni 1.241 -0.717 11.378
Ni 0.000 1.433 11.378
Ni 1.797 1.038 7.568
Ni 1.241 0.717 15.311
Ni 1.797 -1.038 19.121
Ni 0.000 2.075 19.121
Ir 0.000 0.000 13.344
```

Results
energy of formation from the pure elements = 3.7 eV per formula unit
crystal system = trigonal

---

No. 2
Here is a geometry-optimized La2CuIrO6 structure from the Alexandria database. Energies are from GGA-PBE.

```
20
Lattice="5.575 0.000 0.000 0.000 6.019 0.000 -5.525 0.000 7.730" Properties=species:S:1:pos:R:3 pbc="T T T"
La -0.093 0.444 1.930
La -2.856 2.565 5.795
La 2.906 3.453 1.935
La 0.144 5.575 5.800
Cu -2.762 0.000 3.865
Cu 0.000 3.009 0.000
Ir 2.787 0.000 0.000
Ir 0.025 3.009 3.865
O -4.420 1.103 7.360
O -1.658 1.906 3.495
O -3.705 4.280 7.322
O -0.942 4.748 3.457
O -2.194 0.179 5.783
O 0.568 2.830 1.918
O -0.518 3.188 5.812
O 2.245 5.839 1.947
O 0.993 1.271 4.273
O 3.755 1.739 0.408
O 1.708 4.112 4.235
O 4.471 4.916 0.370
```

Results
uncorrected formation energy = -2.067 eV/atom
crystal system = monoclinic

---

No. 3
Here is a geometry-optimized La2CuIrO6 structure from the Alexandria database. Energies are from GGA-PBE.

```
10
Lattice="5.099 -2.717 0.000 5.099 2.717 0.000 -3.071 0.000 4.686" Properties=species:S:1:pos:R:3 pbc="T T T"
La 1.734 0.000 1.229
La 5.394 0.000 3.456
Cu 5.099 0.000 0.000
Ir -1.536 0.000 2.343
O 2.357 1.356 3.212
O -0.191 0.000 3.890
O 4.771 1.356 1.474
O 2.357 -1.356 3.212
O 7.319 0.000 0.796
O 4.771 -1.356 1.474
```

Results
uncorrected formation energy = -2.041 eV/atom
crystal system = monoclinic